Entry i
The following is a DFT calculation (PBE) of a geometry-optimized Y2Zn2N structure.

Calculated values
Space group = I4/mmm
Crystal system = tetragonal
D(E_F) = 0.964 states/eV per atom

Cell: 5.7994 5.7994 5.1218 Å, 55.52 55.52 90.00°
Fractional coordinates of all 5 atoms:
Y1 0.7500 0.2500 0.5000
Y2 0.2500 0.7500 0.5000
Zn1 0.3157 0.3157 0.3686
Zn2 0.6843 0.6843 0.6314
N1 0.0000 0.0000 0.0000



Entry ii
The following is a DFT calculation (PBE) of a geometry-optimized Y2Zn2N structure.

Calculated values
Space group = P4/mbm
Crystal system = tetragonal
D(E_F) = 0.775 states/eV per atom

Cell: 6.5931 6.5931 4.4882 Å, 90.00 90.00 90.00°
Fractional coordinates of all 10 atoms:
Y1 0.1692 0.6692 0.5000
Y2 0.6692 0.8308 0.5000
Y3 0.8308 0.3308 0.5000
Y4 0.3308 0.1692 0.5000
Zn1 0.3634 0.8634 0.0000
Zn2 0.8634 0.6366 0.0000
Zn3 0.6366 0.1366 0.0000
Zn4 0.1366 0.3634 0.0000
N1 0.0000 0.0000 0.0000
N2 0.5000 0.5000 0.0000



Most stable: entry ii. Least stable: entry i.



Entry i
The following is a DFT calculation (PBE) of a geometry-optimized YZn3N structure.

Calculated values
Space group = Pm-3m
Crystal system = cubic
D(E_F) = 2.725 states/eV per atom

Cell: 5.6090 5.6090 5.6090 Å, 90.00 90.00 90.00°
Fractional coordinates of all 5 atoms:
Y1 0.0000 0.0000 0.0000
Zn1 0.0000 0.5000 0.0000
Zn2 0.0000 0.0000 0.5000
Zn3 0.5000 0.0000 0.0000
N1 0.5000 0.5000 0.5000



Entry ii
The following is a DFT calculation (PBE) of a geometry-optimized YZn3N structure.

Calculated values
Space group = Pm-3m
Crystal system = cubic
D(E_F) = 0.498 states/eV per atom

Cell: 4.3884 4.3884 4.3884 Å, 90.00 90.00 90.00°
Fractional coordinates of all 5 atoms:
Y1 0.5000 0.5000 0.5000
Zn1 0.0000 0.5000 0.0000
Zn2 0.0000 0.0000 0.5000
Zn3 0.5000 0.0000 0.0000
N1 0.0000 0.0000 0.0000



Most stable: entry ii. Least stable: entry i.



Entry i
The following is a DFT calculation (PBE) of a geometry-optimized YZr3N structure.

Calculated values
Space group = Pm-3m
Crystal system = cubic
D(E_F) = 1.827 states/eV per atom

Cell: 5.1496 5.1496 5.1496 Å, 90.00 90.00 90.00°
Fractional coordinates of all 5 atoms:
Y1 0.0000 0.0000 0.0000
Zr1 0.0000 0.5000 0.0000
Zr2 0.0000 0.0000 0.5000
Zr3 0.5000 0.0000 0.0000
N1 0.5000 0.5000 0.5000



Entry ii
The following is a DFT calculation (PBE) of a geometry-optimized YZr3N structure.

Calculated values
Space group = Pm-3m
Crystal system = cubic
D(E_F) = 1.034 states/eV per atom

Cell: 4.6536 4.6536 4.6536 Å, 90.00 90.00 90.00°
Fractional coordinates of all 5 atoms:
Y1 0.5000 0.5000 0.5000
Zr1 0.0000 0.5000 0.0000
Zr2 0.0000 0.0000 0.5000
Zr3 0.5000 0.0000 0.0000
N1 0.0000 0.0000 0.0000



Most stable: entry ii. Least stable: entry i.



Entry i
The following is a DFT calculation (PBE) of a geometry-optimized Y3ZrN structure.

Calculated values
Space group = Pm-3m
Crystal system = cubic
D(E_F) = 1.183 states/eV per atom

Cell: 5.4435 5.4435 5.4435 Å, 90.00 90.00 90.00°
Fractional coordinates of all 5 atoms:
Y1 0.0000 0.5000 0.0000
Y2 0.0000 0.0000 0.5000
Y3 0.5000 0.0000 0.0000
Zr1 0.0000 0.0000 0.0000
N1 0.5000 0.5000 0.5000



Entry ii
The following is a DFT calculation (PBE) of a geometry-optimized Y3ZrN structure.

Calculated values
Space group = Pm-3m
Crystal system = cubic
D(E_F) = 1.472 states/eV per atom

Cell: 4.8933 4.8933 4.8933 Å, 90.00 90.00 90.00°
Fractional coordinates of all 5 atoms:
Y1 0.0000 0.5000 0.0000
Y2 0.0000 0.0000 0.5000
Y3 0.5000 0.0000 0.0000
Zr1 0.5000 0.5000 0.5000
N1 0.0000 0.0000 0.0000



Most stable: entry ii. Least stable: entry i.



Entry i
The following is a DFT calculation (PBE) of a geometry-optimized Zr3ZnN structure.

Calculated values
Space group = Cmcm
Crystal system = orthorhombic
D(E_F) = 0.682 states/eV per atom

Cell: 6.0381 6.0381 8.9417 Å, 90.00 90.00 147.78°
Fractional coordinates of all 10 atoms:
Zr1 0.6261 0.3739 0.9511
Zr2 0.3739 0.6261 0.4511
Zr3 0.3739 0.6261 0.0489
Zr4 0.6261 0.3739 0.5489
Zr5 0.9522 0.0478 0.7500
Zr6 0.0478 0.9522 0.2500
Zn1 0.2576 0.7424 0.7500
Zn2 0.7424 0.2576 0.2500
N1 0.0000 0.0000 0.0000
N2 0.0000 0.0000 0.5000



Entry ii
The following is a DFT calculation (PBE) of a geometry-optimized Zr3ZnN structure.

Calculated values
Space group = Pm-3m
Crystal system = cubic
D(E_F) = 0.577 states/eV per atom

Cell: 4.4633 4.4633 4.4633 Å, 90.00 90.00 90.00°
Fractional coordinates of all 5 atoms:
Zn1 0.5000 0.5000 0.5000
Zr1 0.0000 0.5000 0.0000
Zr2 0.0000 0.0000 0.5000
Zr3 0.5000 0.0000 0.0000
N1 0.0000 0.0000 0.0000



Most stable: entry i. Least stable: entry ii.



Entry i
The following is a DFT calculation (PBE) of a geometry-optimized Zr4Zn2N structure.

Calculated values
Space group = Fd-3m
Crystal system = cubic
D(E_F) = 0.751 states/eV per atom

Cell: 8.8437 8.8437 8.8437 Å, 60.00 60.00 60.00°
Fractional coordinates of all 28 atoms:
Zr1 0.0679 0.0679 0.4321
Zr2 0.6250 0.1250 0.6250
Zr3 0.1821 0.8179 0.8179
Zr4 0.0679 0.4321 0.0679
Zr5 0.4321 0.4321 0.0679
Zr6 0.8179 0.1821 0.1821
Zr7 0.1821 0.8179 0.1821
Zr8 0.1821 0.1821 0.8179
Zr9 0.4321 0.0679 0.0679
Zr10 0.8179 0.8179 0.1821
Zr11 0.6250 0.6250 0.1250
Zr12 0.0679 0.4321 0.4321
Zr13 0.4321 0.0679 0.4321
Zr14 0.8179 0.1821 0.8179
Zr15 0.6250 0.6250 0.6250
Zr16 0.1250 0.6250 0.6250
Zn1 0.4120 0.4120 0.7639
Zn2 0.4120 0.7639 0.4120
Zn3 0.4120 0.4120 0.4120
Zn4 0.8380 0.8380 0.8380
Zn5 0.8380 0.8380 0.4861
Zn6 0.4861 0.8380 0.8380
Zn7 0.7639 0.4120 0.4120
Zn8 0.8380 0.4861 0.8380
N1 0.6250 0.1250 0.1250
N2 0.1250 0.6250 0.1250
N3 0.1250 0.1250 0.1250
N4 0.1250 0.1250 0.6250



Entry ii
The following is a DFT calculation (PBE) of a geometry-optimized Zr4Zn2N structure.

Calculated values
Space group = Pbam
Crystal system = orthorhombic
D(E_F) = 0.608 states/eV per atom

Cell: 3.2531 7.5553 10.8809 Å, 90.00 90.00 90.00°
Fractional coordinates of all 14 atoms:
Zr1 0.0000 0.6307 0.8104
Zr2 0.0000 0.3693 0.1896
Zr3 0.0000 0.1307 0.6896
Zr4 0.0000 0.8693 0.3104
Zr5 0.5000 0.8190 0.5637
Zr6 0.5000 0.1810 0.4363
Zr7 0.5000 0.6810 0.0637
Zr8 0.5000 0.3190 0.9363
Zn1 0.5000 0.9391 0.8632
Zn2 0.5000 0.0609 0.1368
Zn3 0.5000 0.4391 0.6368
Zn4 0.5000 0.5609 0.3632
N1 0.0000 0.0000 0.5000
N2 0.0000 0.5000 0.0000



Most stable: entry i. Least stable: entry ii.